Computed, not measured: La3InRu after structural relaxation at the GGA-PBE level of DFT.

Properties
Energy, eV per atom: -5.714
E_form, eV per atom: -0.354
V, A^3/atom: 30.1
Total magnetization, μB/atom: 0.00
Energy above the most stable polymorph in this dataset, kJ/mol of atoms: 6.1

The structure in extended XYZ format:
```
10
Lattice="6.017 0.000 0.000 2.707 6.496 0.000 0.381 0.905 7.695" Properties=species:S:1:pos:R:3 pbc="T T T"
La 0.000 0.000 0.000
La 1.934 3.826 2.518
La 3.220 1.913 5.876
La 5.064 4.872 4.294
La 5.016 3.495 0.349
La 5.953 1.077 3.584
In 3.057 0.561 1.798
In 8.020 5.073 5.745
Ru 1.729 2.619 0.373
Ru 6.206 2.860 5.645
```